--- w ---
The following is a DFT calculation (GGA-PBE) of a relaxed structure of InAsOs2.

The structure belongs to space group Cmm2 (No. 35); the cell edges are 2.830, 4.973 and 10.435 Å and the angles 90.00°, 90.00° and 90.00°. Symmetry generates all atoms from In at (0.000, 0.000, 0.000), As at (0.000, 0.500, 0.338), Os at (0.000, 0.000, 0.543) and Os at (0.000, 0.500, 0.754).

For the total magnetization, the calculation gives 0.0 μB per formula unit. Its density of states at the Fermi level is 8.20 states/eV/cell.


--- x ---
The following is a DFT calculation (GGA-PBE) of a relaxed structure of InAsOs2.

The structure belongs to space group I-42d (No. 122); the cell edges are 7.247, 7.247 and 5.490 Å and the angles 90.00°, 90.00° and 90.00°. Symmetry generates all atoms from In at (0.000, 0.000, 0.000), As at (0.000, 0.000, 0.500) and Os at (0.186, 0.250, 0.625).

For the total magnetization, the calculation gives 0.0 μB per formula unit. Its density of states at the Fermi level is 7.92 states/eV/cell.


Quick one: least stable of them? x


--- w ---
The following is a DFT calculation (GGA-PBE) of a relaxed structure of In2AsP.

The structure belongs to space group Imm2 (No. 44); the cell edges are 3.434, 5.494 and 10.049 Å and the angles 90.00°, 90.00° and 90.00°. Symmetry generates all atoms from In at (0.000, 0.000, 0.000), In at (0.000, 0.500, 0.214), As at (0.000, 0.000, 0.424) and P at (0.000, 0.500, 0.761).

For the total magnetization, the calculation gives 0.0 μB per formula unit. Its density of states at the Fermi level is 2.51 states/eV/cell.


--- x ---
The following is a DFT calculation (GGA-PBE) of a relaxed structure of In2AsP.

The structure belongs to space group P2/m (No. 10); the cell edges are 3.078, 3.866 and 7.522 Å and the angles 90.00°, 90.24° and 90.00°. Symmetry generates all atoms from In at (0.014, 0.000, 0.254), As at (0.500, 0.500, 0.500) and P at (0.000, 0.500, 0.000).

For the total magnetization, the calculation gives 0.0 μB per formula unit. Its density of states at the Fermi level is 1.78 states/eV/cell.


Quick one: least stable of them? x


--- w ---
The following is a DFT calculation (GGA-PBE) of a relaxed structure of In2AsP.

The structure belongs to space group I-4m2 (No. 119); the cell edges are 4.447, 4.447 and 8.888 Å and the angles 90.00°, 90.00° and 90.00°. Symmetry generates all atoms from In at (0.000, 0.000, 0.000), In at (0.000, 0.500, 0.250), As at (0.000, 0.000, 0.500) and P at (0.000, 0.500, 0.750).

For the total magnetization, the calculation gives 0.0 μB per formula unit. Its density of states at the Fermi level is 5.39 states/eV/cell.


--- x ---
The following is a DFT calculation (GGA-PBE) of a relaxed structure of In2AsP.

The structure belongs to space group C2/m (No. 12); the cell edges are 6.833, 3.945 and 7.015 Å and the angles 90.00°, 108.66° and 90.00°. Symmetry generates all atoms from In at (0.245, 0.000, 0.237), As at (0.000, 0.000, 0.500) and P at (0.000, 0.500, 0.000).

For the total magnetization, the calculation gives 0.0 μB per formula unit. Its density of states at the Fermi level is 4.49 states/eV/cell.


Quick one: least stable of them? w